1.
Computed, not measured: GeSb3Pt after structural relaxation at the GGA-PBE level of DFT.

Computed properties:
- Fermi-level density of states (states/eV/atom) = 0.56
- polymorph energy (0 for the lowest one) (meV/atom) = 0.0
- M_tot (μB/f.u.) = 0.00
- ΔE_f (raw) (kcal/mol of atoms) = 11.73
- energy (eV per atom) = -4.096
- SG = Pm-3m

a b c (Å): 5.274 5.274 5.274
angles (deg): 90.00 90.00 90.00
Fractional positions:
Ge1 0.500 0.500 0.500
Sb1 0.500 0.000 0.000
Sb2 0.000 0.000 0.500
Sb3 0.000 0.500 0.000
Pt1 0.000 0.000 0.000

2.
Computed, not measured: Mg2TaAg after structural relaxation at the GGA-PBE level of DFT.

Computed properties:
- Fermi-level density of states (states/eV/atom) = 0.81
- polymorph energy (0 for the lowest one) (meV/atom) = 238.3
- M_tot (μB/f.u.) = 0.00
- energy (eV per atom) = -4.175
- calculated formation energy (eV per atom) = 0.299
- SG = Immm

a b c (Å): 5.870 5.870 5.870
angles (deg): 151.37 127.78 60.63
Fractional positions:
Mg1 0.016 0.016 0.000
Mg2 0.484 0.484 0.000
Ta1 0.750 0.250 0.500
Ag1 0.250 0.750 0.500